Crystalline La2ZnSe2 at its relaxed geometry, computed with PBE-GGA.

POSCAR file:
```
La2ZnSe2
1.0
8.3061 0.0000 0.0000
0.0000 8.3061 0.0000
0.0000 0.0000 3.9631
Zn Se La
2 4 4
Direct
0.0000 0.0000 0.0000
0.5000 0.5000 0.0000
0.1458 0.6458 0.5000
0.6458 0.8542 0.5000
0.8542 0.3542 0.5000
0.3542 0.1458 0.5000
0.3427 0.8427 0.0000
0.8427 0.6573 0.0000
0.6573 0.1573 0.0000
0.1573 0.3427 0.0000
```

Output
- space group = P4/mbm
- DOS(E_F) (states/eV/cell) = 8.5
- E_form (uncorrected) (eV per formula unit) = -6.35
- calculated total energy (eV/atom) = -4.89